This record from Alexandria via LeMat-Bulk describes an optimized crystal structure of Er2BeCo2. The functional is PBE-GGA.

Cell: 5.368 5.368 6.955 Å, 101.59 101.59 58.09°
Positions (direct):
Er  0.011  0.283  0.148
Er  0.283  0.011  0.648
Er  0.717  0.989  0.352
Er  0.989  0.717  0.852
Be  0.393  0.607  0.250
Be  0.607  0.393  0.750
Co  0.238  0.503  0.492
Co  0.497  0.762  0.008
Co  0.503  0.238  0.992
Co  0.762  0.497  0.508

## Properties
E (eV per atom): -5.648
Energy of formation from the pure elements (eV/atom): -0.24
Crystal system: monoclinic
ΔE to the lowest computed polymorph (meV/atom): 21
SG: C2/c (15)

---

This record from Alexandria via LeMat-Bulk describes an optimized crystal structure of ErBeCo2. The functional is PBE-GGA.

Cell: 4.714 4.381 11.369 Å, 90.00 90.00 90.00°
Positions (direct):
Er  0.250  0.000  0.095
Er  0.250  0.500  0.312
Er  0.750  0.000  0.905
Er  0.750  0.500  0.688
Be  0.250  0.000  0.661
Be  0.250  0.500  0.550
Be  0.750  0.000  0.339
Be  0.750  0.500  0.450
Co  0.000  0.000  0.500
Co  0.000  0.500  0.000
Co  0.250  0.252  0.827
Co  0.250  0.748  0.827
Co  0.500  0.000  0.500
Co  0.500  0.500  0.000
Co  0.750  0.252  0.173
Co  0.750  0.748  0.173

## Properties
E (eV per atom): -5.635
Energy of formation from the pure elements (eV/atom): -0.01
Crystal system: orthorhombic
SG: Pmma (51)